[1]
Below is Ba2PdS at its PBEsol-relaxed geometry, with properties calculated at the SCAN level.

Computed properties:
space group = I-42d (122)
calculated volume = 566.2 Å³ per cell
E_tot = -31.52 eV per atom
formation energy without anion corrections = -1.146 eV per atom

a = 7.9823 Å, b = 7.9823 Å, c = 8.8867 Å
α = 90.00°, β = 90.00°, γ = 90.00°
Fractional coordinates of all 16 atoms:
Ba  0.2436  0.2500  0.1250
Ba  0.2500  0.7436  0.3750
Ba  0.2500  0.7564  0.8750
Ba  0.2564  0.2500  0.6250
Ba  0.7436  0.7500  0.6250
Ba  0.7500  0.2436  0.8750
Ba  0.7500  0.2564  0.3750
Ba  0.7564  0.7500  0.1250
Pd  0.0000  0.0000  0.5000
Pd  0.0000  0.5000  0.7500
Pd  0.5000  0.0000  0.2500
Pd  0.5000  0.5000  0.0000
S  0.0000  0.0000  0.0000
S  0.0000  0.5000  0.2500
S  0.5000  0.0000  0.7500
S  0.5000  0.5000  0.5000

***

[2]
Below is Li5BiO4 at its PBEsol-relaxed geometry, with properties calculated at the SCAN level.

Computed properties:
space group = Pbca (61)
energy relative to the lowest polymorph listed for this composition = 0.03 eV per formula unit
calculated volume = 851.6 Å³ per cell
E_tot = -13.32 eV per atom
formation energy without anion corrections = -1.776 eV per atom

a = 9.1400 Å, b = 9.5117 Å, c = 9.7953 Å
α = 90.00°, β = 90.00°, γ = 90.00°
Fractional coordinates of all 80 atoms:
Li  0.1178  0.0792  0.1407
Li  0.1178  0.4208  0.6407
Li  0.1198  0.6353  0.8510
Li  0.1198  0.8647  0.3510
Li  0.1264  0.1442  0.9053
Li  0.1264  0.3558  0.4053
Li  0.1371  0.1549  0.6436
Li  0.1371  0.3451  0.1436
Li  0.1723  0.6104  0.4140
Li  0.1723  0.8896  0.9140
Li  0.3277  0.1104  0.4140
Li  0.3277  0.3896  0.9140
Li  0.3629  0.6549  0.6436
Li  0.3629  0.8451  0.1436
Li  0.3736  0.6442  0.9053
Li  0.3736  0.8558  0.4053
Li  0.3802  0.1353  0.8510
Li  0.3802  0.3647  0.3510
Li  0.3822  0.5792  0.1407
Li  0.3822  0.9208  0.6407
Li  0.6178  0.0792  0.3593
Li  0.6178  0.4208  0.8593
Li  0.6198  0.6353  0.6490
Li  0.6198  0.8647  0.1490
Li  0.6264  0.1442  0.5947
Li  0.6264  0.3558  0.0947
Li  0.6371  0.1549  0.8564
Li  0.6371  0.3451  0.3564
Li  0.6723  0.6104  0.0860
Li  0.6723  0.8896  0.5860
Li  0.8277  0.1104  0.0860
Li  0.8277  0.3896  0.5860
Li  0.8629  0.6549  0.8564
Li  0.8629  0.8451  0.3564
Li  0.8736  0.6442  0.5947
Li  0.8736  0.8558  0.0947
Li  0.8802  0.1353  0.6490
Li  0.8802  0.3647  0.1490
Li  0.8822  0.5792  0.3593
Li  0.8822  0.9208  0.8593
Bi  0.0713  0.6504  0.1447
Bi  0.0713  0.8496  0.6447
Bi  0.4287  0.1504  0.1447
Bi  0.4287  0.3496  0.6447
Bi  0.5713  0.6504  0.3553
Bi  0.5713  0.8496  0.8553
Bi  0.9287  0.1504  0.3553
Bi  0.9287  0.3496  0.8553
O  0.0002  0.2229  0.0513
O  0.0002  0.2771  0.5513
O  0.9998  0.7229  0.4487
O  0.9998  0.7771  0.9487
O  0.0211  0.0428  0.7674
O  0.0211  0.4572  0.2674
O  0.2205  0.5323  0.0118
O  0.2205  0.9677  0.5118
O  0.2392  0.2228  0.2674
O  0.2392  0.2772  0.7674
O  0.2608  0.7228  0.2674
O  0.2608  0.7772  0.7674
O  0.2795  0.0323  0.0118
O  0.2795  0.4677  0.5118
O  0.4789  0.5428  0.7674
O  0.4789  0.9572  0.2674
O  0.5002  0.2229  0.4487
O  0.5002  0.2771  0.9487
O  0.4998  0.7229  0.0513
O  0.4998  0.7771  0.5513
O  0.5211  0.0428  0.7326
O  0.5211  0.4572  0.2326
O  0.7205  0.5323  0.4882
O  0.7205  0.9677  0.9882
O  0.7392  0.2228  0.2326
O  0.7392  0.2772  0.7326
O  0.7608  0.7228  0.2326
O  0.7608  0.7772  0.7326
O  0.7795  0.0323  0.4882
O  0.7795  0.4677  0.9882
O  0.9789  0.5428  0.7326
O  0.9789  0.9572  0.2326

***

[3]
Below is Ti6Ni16Ge7 at its PBEsol-relaxed geometry, with properties calculated at the SCAN level.

Computed properties:
space group = Fm-3m (225)
energy of formation from the pure elements = -0.572 eV/atom
calculated volume = 355.8 Å³ per cell
E_tot = -17.42 eV per atom

a = 7.9537 Å, b = 7.9537 Å, c = 7.9537 Å
α = 60.00°, β = 60.00°, γ = 60.00°
Fractional coordinates of all 29 atoms:
Ti  0.2008  0.2008  0.7992
Ti  0.2008  0.7992  0.2008
Ti  0.2008  0.7992  0.7992
Ti  0.7992  0.2008  0.2008
Ti  0.7992  0.2008  0.7992
Ti  0.7992  0.7992  0.2008
Ni  0.1454  0.6182  0.6182
Ni  0.1654  0.1654  0.1654
Ni  0.1654  0.1654  0.5037
Ni  0.1654  0.5037  0.1654
Ni  0.3818  0.3818  0.3818
Ni  0.3818  0.3818  0.8546
Ni  0.3818  0.8546  0.3818
Ni  0.4963  0.8346  0.8346
Ni  0.5037  0.1654  0.1654
Ni  0.6182  0.1454  0.6182
Ni  0.6182  0.6182  0.1454
Ni  0.6182  0.6182  0.6182
Ni  0.8346  0.4963  0.8346
Ni  0.8346  0.8346  0.4963
Ni  0.8346  0.8346  0.8346
Ni  0.8546  0.3818  0.3818
Ge  0.0000  0.0000  0.5000
Ge  0.0000  0.5000  0.0000
Ge  0.0000  0.5000  0.5000
Ge  0.5000  0.0000  0.0000
Ge  0.5000  0.0000  0.5000
Ge  0.5000  0.5000  0.0000
Ge  0.5000  0.5000  0.5000

***

[4]
Below is AlH20C2S2NO14 at its PBEsol-relaxed geometry, with properties calculated at the SCAN level.

Computed properties:
space group = Pc (7)
calculated volume = 752.4 Å³ per cell
E_tot = -6.45 eV per atom

a = 6.4542 Å, b = 10.4849 Å, c = 12.0535 Å
α = 90.00°, β = 112.72°, γ = 90.00°
Fractional coordinates of all 80 atoms:
Al  0.0000  0.2491  0.0000
Al  0.0000  0.7509  0.5000
H  0.0085  0.3998  0.8278
H  0.0086  0.4321  0.1459
H  0.0086  0.5679  0.6459
H  0.0085  0.6002  0.3278
H  0.1408  0.3062  0.4241
H  0.1408  0.6938  0.9241
H  0.1854  0.2806  0.8481
H  0.1854  0.7194  0.3481
H  0.2396  0.4411  0.1155
H  0.2396  0.5589  0.6155
H  0.2854  0.1850  0.3753
H  0.2854  0.8150  0.8753
H  0.3091  0.0856  0.0951
H  0.3091  0.9144  0.5951
H  0.3654  0.3498  0.3778
H  0.3654  0.6502  0.8778
H  0.4101  0.1892  0.5894
H  0.4101  0.8108  0.0894
H  0.4272  0.2279  0.1207
H  0.4272  0.7721  0.6207
H  0.4779  0.3476  0.5939
H  0.4779  0.6524  0.0939
H  0.5725  0.2727  0.8800
H  0.5725  0.7273  0.3800
H  0.6829  0.1345  0.5079
H  0.6829  0.8655  0.0079
H  0.6954  0.4138  0.9046
H  0.6954  0.5862  0.4046
H  0.7553  0.3005  0.5108
H  0.7553  0.6995  0.0108
H  0.7583  0.0583  0.8843
H  0.7583  0.9417  0.3843
H  0.8072  0.2163  0.6498
H  0.8072  0.7837  0.1498
H  0.8166  0.2198  0.1517
H  0.8166  0.7802  0.6517
H  0.9883  0.0682  0.8523
H  0.9883  0.9318  0.3523
H  0.9889  0.0977  0.1705
H  0.9889  0.9023  0.6705
C  0.3030  0.2767  0.4225
C  0.3030  0.7233  0.9225
C  0.6947  0.2257  0.5548
C  0.6947  0.7743  0.0548
S  0.3260  0.0713  0.7648
S  0.3260  0.9287  0.2648
S  0.6762  0.4332  0.2351
S  0.6762  0.5668  0.7351
N  0.4678  0.2613  0.5474
N  0.4678  0.7387  0.0474
O  0.0878  0.3987  0.0943
O  0.0878  0.6013  0.5943
O  0.0906  0.3289  0.8840
O  0.0906  0.6711  0.3840
O  0.1107  0.0190  0.7644
O  0.1107  0.9810  0.2644
O  0.2906  0.1782  0.0680
O  0.2906  0.8218  0.5680
O  0.3274  0.0559  0.6419
O  0.3274  0.9441  0.1419
O  0.3387  0.2110  0.7918
O  0.3387  0.7890  0.2918
O  0.4779  0.4980  0.6474
O  0.4779  0.5020  0.1474
O  0.5181  0.0035  0.8540
O  0.5181  0.9965  0.3540
O  0.6598  0.2955  0.2027
O  0.6598  0.7045  0.7027
O  0.6799  0.4480  0.3577
O  0.6799  0.5520  0.8577
O  0.7108  0.3210  0.9325
O  0.7108  0.6790  0.4325
O  0.8857  0.4880  0.2298
O  0.8857  0.5120  0.7298
O  0.9082  0.1695  0.1153
O  0.9082  0.8305  0.6153
O  0.9119  0.0994  0.9058
O  0.9119  0.9006  0.4058

***

[5]
Below is Li4V2Cr3Sb3O16 at its PBEsol-relaxed geometry, with properties calculated at the SCAN level.

Computed properties:
space group = P1 (1)
calculated volume = 302.5 Å³ per cell
E_tot = -13.22 eV per atom
formation energy without anion corrections = -2.109 eV per atom

a = 5.9910 Å, b = 6.0659 Å, c = 9.5253 Å
α = 90.75°, β = 90.22°, γ = 119.06°
Fractional coordinates of all 28 atoms:
Li  0.0000  0.0000  0.0000
Li  0.0078  0.9918  0.5116
Li  0.3453  0.6220  0.4104
Li  0.6862  0.3044  0.8890
V  0.3738  0.6480  0.9896
V  0.6945  0.2917  0.5019
Cr  0.1877  0.3110  0.7246
Cr  0.6799  0.8011  0.7215
Cr  0.8506  0.1409  0.2252
Sb  0.1876  0.8033  0.7207
Sb  0.3626  0.1443  0.2210
Sb  0.8582  0.6359  0.2216
O  0.0168  0.9790  0.8172
O  0.0330  0.0006  0.3263
O  0.0651  0.4990  0.8500
O  0.1877  0.3072  0.1131
O  0.2040  0.8337  0.0929
O  0.3408  0.1316  0.6114
O  0.3526  0.6300  0.6149
O  0.5017  0.5022  0.8449
O  0.5044  0.9312  0.8463
O  0.5259  0.4294  0.3662
O  0.5400  0.0037  0.3461
O  0.6799  0.2768  0.1034
O  0.6884  0.8246  0.1047
O  0.8455  0.1370  0.6181
O  0.8568  0.6499  0.6054
O  0.9703  0.4174  0.3646

***

[6]
Below is Mn2HgSb at its PBEsol-relaxed geometry, with properties calculated at the SCAN level.

Computed properties:
space group = F-43m (216)
energy relative to the lowest polymorph listed for this composition = 1.53 eV per formula unit
calculated volume = 280.9 Å³ per cell
E_tot = -35.05 eV per atom
formation energy without anion corrections = 0.431 eV per atom

a = 6.5489 Å, b = 6.5489 Å, c = 6.5489 Å
α = 90.00°, β = 90.00°, γ = 90.00°
Fractional coordinates of all 16 atoms:
Mn  0.0000  0.0000  0.0000
Mn  0.0000  0.5000  0.5000
Mn  0.2500  0.2500  0.2500
Mn  0.2500  0.7500  0.7500
Mn  0.5000  0.0000  0.5000
Mn  0.5000  0.5000  0.0000
Mn  0.7500  0.2500  0.7500
Mn  0.7500  0.7500  0.2500
Hg  0.2500  0.2500  0.7500
Hg  0.2500  0.7500  0.2500
Hg  0.7500  0.2500  0.2500
Hg  0.7500  0.7500  0.7500
Sb  0.0000  0.0000  0.5000
Sb  0.0000  0.5000  0.0000
Sb  0.5000  0.0000  0.0000
Sb  0.5000  0.5000  0.5000

***

[7]
Below is Al2AgRu at its PBEsol-relaxed geometry, with properties calculated at the SCAN level.

Computed properties:
space group = P4/mmm (123)
energy of formation from the pure elements = -0.598 eV/atom
calculated volume = 57.5 Å³ per cell
E_tot = -21.02 eV per atom

a = 3.0368 Å, b = 3.0368 Å, c = 6.2346 Å
α = 90.00°, β = 90.00°, γ = 90.00°
Fractional coordinates of all 4 atoms:
Al  0.0000  0.0000  0.2211
Al  0.0000  0.0000  0.7789
Ag  0.5000  0.5000  0.5000
Ru  0.5000  0.5000  0.0000

***

[8]
Below is Hf2ScP at its PBEsol-relaxed geometry, with properties calculated at the SCAN level.

Computed properties:
space group = I-42d (122)
energy of formation from the pure elements = -0.331 eV/atom
calculated volume = 328.0 Å³ per cell
E_tot = -37.83 eV per atom

a = 7.7958 Å, b = 7.7958 Å, c = 5.3974 Å
α = 90.00°, β = 90.00°, γ = 90.00°
Fractional coordinates of all 16 atoms:
Hf  0.1878  0.7500  0.1250
Hf  0.2500  0.1878  0.8750
Hf  0.2500  0.3122  0.3750
Hf  0.3122  0.7500  0.6250
Hf  0.6878  0.2500  0.6250
Hf  0.7500  0.6878  0.3750
Hf  0.7500  0.8122  0.8750
Hf  0.8122  0.2500  0.1250
Sc  0.0000  0.0000  0.5000
Sc  0.0000  0.5000  0.7500
Sc  0.5000  0.0000  0.2500
Sc  0.5000  0.5000  0.0000
P  0.0000  0.0000  0.0000
P  0.0000  0.5000  0.2500
P  0.5000  0.0000  0.7500
P  0.5000  0.5000  0.5000

***

Repeat the seventh record exactly.
Below is Al2AgRu at its PBEsol-relaxed geometry, with properties calculated at the SCAN level.

Computed properties:
space group = P4/mmm (123)
energy of formation from the pure elements = -0.598 eV/atom
calculated volume = 57.5 Å³ per cell
E_tot = -21.02 eV per atom

a = 3.0368 Å, b = 3.0368 Å, c = 6.2346 Å
α = 90.00°, β = 90.00°, γ = 90.00°
Fractional coordinates of all 4 atoms:
Al  0.0000  0.0000  0.2211
Al  0.0000  0.0000  0.7789
Ag  0.5000  0.5000  0.5000
Ru  0.5000  0.5000  0.0000

***

The lowest E_tot belongs to which entry? Hf2ScP